# Ba3CoCu2O6

A relaxed structure of Ba3CoCu2O6 (PBE with a Hubbard U, Alexandria).

Summary:
The density of states at the Fermi level comes out at 0.450 states/eV per atom. Its total DFT energy (no corrections) is -5.545 eV per atom.

Cell: 5.9324 5.9324 6.6860 Å, 90.00 90.00 120.00°
Positions (direct):
Ba: 0.0000 0.0000 0.0000
Ba: 0.3333 0.6667 0.6547
Ba: 0.6667 0.3333 0.3453
Co: 0.0000 0.0000 0.5000
Cu: 0.3333 0.6667 0.2157
Cu: 0.6667 0.3333 0.7843
O: 0.1608 0.3215 0.3191
O: 0.1608 0.8392 0.3191
O: 0.3215 0.1608 0.6809
O: 0.6785 0.8392 0.3191
O: 0.8392 0.1608 0.6809
O: 0.8392 0.6785 0.6809